No. 1
A relaxed Pm3Zn4Cu4 crystal. Source: Alexandria, functional PBE-GGA.

mass density: 7.4 g cm⁻³
size of the total moment: 0.000 μB/f.u.
final energy: -3.511 eV per atom
calculated volume: 214 Å³ per cell
formation energy from the elements: -263 meV per atom
space-group type: P-1, No. 2
polymorph energy (0 for the lowest one): 0.00 kJ/mol of atoms

abc: 3.7946 4.2348 13.5879
angles: 81.23 81.99 90.10
Atoms (fractional coordinates):
Pm  0.0000  0.0000  0.0000
Pm  0.1487  0.6485  0.7039
Cu  0.4532  0.4519  0.0949
Cu  0.5468  0.5481  0.9051
Cu  0.3080  0.8101  0.3823
Pm  0.8513  0.3515  0.2961
Zn  0.4027  0.9033  0.1933
Zn  0.7466  0.7453  0.5064
Zn  0.2535  0.2547  0.4936
Zn  0.5973  0.0968  0.8067
Cu  0.6920  0.1900  0.6177



No. 2
A relaxed CsAl2Ga4 crystal. Source: Alexandria, functional PBE-GGA.

mass density: 3.1 g cm⁻³
size of the total moment: 0.000 μB/f.u.
final energy: -2.065 eV per atom
calculated volume: 253 Å³ per cell
formation energy from the elements: 856 meV per atom
space-group type: I4/mmm, No. 139

abc: 5.8426 5.8426 8.4828
angles: 69.86 69.86 90.00
Atoms (fractional coordinates):
Ga  0.0000  0.5000  0.0000
Al  0.4135  0.4135  0.1730
Al  0.5865  0.5865  0.8270
Ga  0.5000  0.0000  0.0000
Ga  0.7626  0.7626  0.4748
Cs  0.0000  0.0000  0.0000
Ga  0.2374  0.2374  0.5252



Which value of final energy does entry 2 give?
-2.065 eV per atom